Here is a relaxed YAgBr crystal from the Alexandria database. Energies are from PBE.

a = 4.108 Å, b = 4.108 Å, c = 12.182 Å
α = 90.00°, β = 90.00°, γ = 120.00°
Positions (direct):
Y 0.000 0.000 0.201
Y 0.000 0.000 0.799
Ag 0.333 0.667 0.055
Ag 0.667 0.333 0.945
Br 0.333 0.667 0.654
Br 0.667 0.333 0.346

Calculated values
SG = P-3m1 (164)
formation energy from raw total energies = -849 meV per atom
total moment = 0.0002 μB per atom
total DFT energy (no corrections) = -4.5118 eV per atom
crystal system = trigonal
excess energy over the best structure of this formula in the dataset = 0.000 eV/atom